The following is a DFT calculation (PBE-GGA) of a geometry-optimized CeCoSi2 structure.

Geometry as POSCAR:
```
CeCoSi2
1.0
2.0003 -8.3524 0.0000
2.0003 8.3524 0.0000
0.0000 0.0000 4.0106
Ce Co Si
2 2 4
direct
0.1439 0.8561 0.0000
0.8561 0.1439 0.0000
0.4264 0.5736 0.5000
0.5736 0.4264 0.5000
0.0000 0.0000 0.5000
0.2898 0.7102 0.5000
0.5000 0.5000 0.0000
0.7102 0.2898 0.5000
```

Properties
Space-group type: Cmmm, No. 65
Total moment in μB per formula unit: 0.0
Formation energy from raw total energies in eV per atom: -0.76
V in Å³/atom: 16.75
Calculated total energy in eV/cell: -53.8